No. 1
## K2Zr2O5 (PBE)

Data for K2Zr2O5 after structural relaxation.

Calculated values
The uncorrected energy is -275.44 eV/cell.

Geometry as CIF:
```
data_K2Zr2O5
_space_group_name_H-M_alt 'P 1'
_space_group_IT_number 1
_space_group_name_Hall 'P 1'
_cell_length_a 5.857
_cell_length_b 10.834
_cell_length_c 8.697
_cell_angle_alpha 90.00
_cell_angle_beta 90.00
_cell_angle_gamma 90.00
loop_
_atom_site_label
_atom_site_type_symbol
_atom_site_fract_x
_atom_site_fract_y
_atom_site_fract_z
_atom_site_occupancy
Zr1 Zr 0.532 0.924 0.161 1
O1 O 0.487 0.750 0.250 1
O2 O 0.626 0.108 0.053 1
K1 K 0.065 0.833 0.425 1
Zr2 Zr 0.968 0.076 0.161 1
O3 O 0.126 0.108 0.947 1
O4 O 0.874 0.892 0.053 1
O5 O 0.750 0.500 0.760 1
K2 K 0.565 0.667 0.925 1
O6 O 0.987 0.750 0.750 1
O7 O 0.750 0.000 0.330 1
O8 O 0.250 0.000 0.670 1
Zr3 Zr 0.468 0.076 0.839 1
K3 K 0.435 0.333 0.075 1
O9 O 0.874 0.608 0.447 1
O10 O 0.513 0.250 0.750 1
O11 O 0.250 0.000 0.260 1
O12 O 0.250 0.500 0.240 1
Zr4 Zr 0.468 0.424 0.661 1
Zr5 Zr 0.532 0.576 0.339 1
K4 K 0.935 0.333 0.925 1
O13 O 0.374 0.892 0.947 1
O14 O 0.013 0.250 0.250 1
K5 K 0.935 0.167 0.575 1
K6 K 0.435 0.167 0.425 1
O15 O 0.750 0.000 0.740 1
O16 O 0.250 0.500 0.830 1
O17 O 0.374 0.608 0.553 1
O18 O 0.750 0.500 0.170 1
O19 O 0.626 0.392 0.447 1
Zr6 Zr 0.032 0.576 0.661 1
K7 K 0.065 0.667 0.075 1
K8 K 0.565 0.833 0.575 1
O20 O 0.126 0.392 0.553 1
Zr7 Zr 0.032 0.924 0.839 1
Zr8 Zr 0.968 0.424 0.339 1
```

---

No. 2
## ScZnPt (PBE)

Data for ScZnPt after structural relaxation.

Calculated values
The value obtained for the formation enthalpy at 0 K is -0.363 eV per atom.

Geometry as CIF:
```
data_ScZnPt
_space_group_name_H-M_alt 'P 1'
_space_group_IT_number 1
_space_group_name_Hall 'P 1'
_cell_length_a 4.421
_cell_length_b 4.421
_cell_length_c 4.421
_cell_angle_alpha 60.00
_cell_angle_beta 60.00
_cell_angle_gamma 60.00
loop_
_atom_site_label
_atom_site_type_symbol
_atom_site_fract_x
_atom_site_fract_y
_atom_site_fract_z
_atom_site_occupancy
Sc1 Sc 0.000 0.000 0.000 1
Pt1 Pt 0.250 0.250 0.250 1
Zn1 Zn 0.750 0.750 0.750 1
```

---

In order of appearance, total moment = 0.00; 0.00 μB per formula unit.